# 1
Compound: Ta2PbAu
Source: Alexandria
Functional: PBE
Structure: relaxed

a = 3.0740 Å, b = 3.0740 Å, c = 8.3296 Å
α = 90.00°, β = 90.00°, γ = 90.00°
With the nearest neighbours (Å) after each atom.
Sites, in units of the cell vectors:
Au (0.5000, 0.5000, 0.2500)  8 Ta 2.89, 4 Au 3.07
Pb (0.5000, 0.5000, 0.7500)  4 Pb 3.07, 8 Ta 3.14
Ta (0.0000, 0.0000, 0.0216)  4 Au 2.89, 4 Ta 3.07, 4 Pb 3.14
Ta (0.0000, 0.0000, 0.4784)  4 Au 2.89, 4 Ta 3.07, 4 Pb 3.14

Computed properties:
- SG = P4/mmm, No. 123
- DFT formation energy (eV/atom) = 0.40


# 2
Compound: PrNb4Ge2
Source: Alexandria
Functional: PBE
Structure: relaxed

a = 4.6334 Å, b = 4.8087 Å, c = 7.1841 Å
α = 109.55°, β = 90.00°, γ = 90.00°
With the nearest neighbours (Å) after each atom.
Sites, in units of the cell vectors:
Pr (0.0000, 0.0000, 0.0000)  8 Nb 3.45-3.67, 8 Ge 3.60
Nb (0.5000, 0.8108, 0.6215)  3 Ge 2.70-2.87, 4 Nb 2.73-2.91
Nb (0.0000, 0.7046, 0.4093)  4 Nb 2.70-2.73, 2 Ge 2.72
Nb (0.5000, 0.1892, 0.3785)  3 Ge 2.70-2.87, 4 Nb 2.73-2.91
Nb (0.0000, 0.2954, 0.5907)  4 Nb 2.70-2.73, 2 Ge 2.72
Ge (0.5000, 0.5988, 0.1976)  1 Ge 2.67, 5 Nb 2.70-2.87
Ge (0.5000, 0.4012, 0.8024)  1 Ge 2.67, 5 Nb 2.70-2.87

Computed properties:
- SG = Cmmm, No. 65
- DFT formation energy (eV/atom) = -0.11


# 3
Compound: Na2LaNb
Source: Alexandria
Functional: PBE
Structure: relaxed

a = 4.2456 Å, b = 4.2456 Å, c = 13.1662 Å
α = 80.72°, β = 80.72°, γ = 90.00°
With the nearest neighbours (Å) after each atom.
Sites, in units of the cell vectors:
Na (0.6059, 0.1250, 0.2500)  4 Na 2.89-3.12
Na (0.1441, 0.6250, 0.2500)  4 Na 2.89-3.12
Na (0.3750, 0.3941, 0.7500)  4 Na 2.89-3.12
Na (0.8750, 0.8559, 0.7500)  4 Na 2.89-3.12
Nb (0.5000, 0.5000, 0.0000)  4 La 3.00
Nb (0.2500, 0.7500, 0.5000)  4 La 3.00
La (0.0000, 0.0000, 0.0000)  4 Nb 3.00
La (0.7500, 0.2500, 0.5000)  4 Nb 3.00

Computed properties:
- SG = I-42d, No. 122
- offset from the most stable computed form (meV/atom) = 0
- DFT formation energy (eV/atom) = 0.79


# 4
Compound: Eu2UGe
Source: Alexandria
Functional: PBE
Structure: relaxed

a = 3.3097 Å, b = 3.3097 Å, c = 12.1753 Å
α = 82.19°, β = 82.19°, γ = 60.00°
With the nearest neighbours (Å) after each atom.
Sites, in units of the cell vectors:
Eu (0.4148, 0.4148, 0.7556)  1 Ge 3.07, 6 Eu 3.31
Eu (0.5852, 0.5852, 0.2444)  1 Ge 3.07, 6 Eu 3.31
Ge (0.5000, 0.5000, 0.5000)  2 Eu 3.07, 6 Ge 3.31
U (0.0000, 0.0000, 0.0000)  6 U 3.31, 6 Eu 3.51

Computed properties:
- SG = R-3m, No. 166
- DFT formation energy (eV/atom) = 0.55


> What is the DFT formation energy in the third record?

0.79 eV/atom


> The highest DFT formation energy belongs to which entry?

Na2LaNb